(1)
The following is a meta-GGA SCAN calculation of a crystal of Ir5Ru3 relaxed with PBEsol, from Alexandria via LeMat-Bulk.

- crystal system = orthorhombic
- calculated formation energy (eV/atom) = -0.055

Lattice parameters (Å, degrees): 3.8007 5.3824 5.3824 90.12 90.00 90.00
Positions (direct):
Ir 0.0000 0.0000 0.0000
Ir 0.0000 0.0000 0.5000
Ir 0.0000 0.5000 0.0000
Ir 0.5000 0.7484 0.2516
Ir 0.5000 0.2516 0.7484
Ru 0.0000 0.5000 0.5000
Ru 0.5000 0.2517 0.2517
Ru 0.5000 0.7483 0.7483



(2)
The following is a meta-GGA SCAN calculation of a crystal of Be2FePt relaxed with PBEsol, from Alexandria via LeMat-Bulk.

- crystal system = tetragonal
- calculated formation energy (eV/atom) = -0.111

Lattice parameters (Å, degrees): 4.9272 4.9272 4.9272 105.06 105.06 118.72
Each line ends with the local moment (μB).
Positions (direct):
Be 0.8706 0.8750 0.4956  -0.05
Be 0.3794 0.3750 0.5044  -0.05
Be 0.6250 0.1294 0.0044  -0.05
Be 0.1250 0.6206 0.9956  -0.05
Fe 0.7500 0.2500 0.5000  2.59
Fe 0.5000 0.5000 0.0000  2.59
Pt 0.2500 0.7500 0.5000  0.08
Pt 0.0000 0.0000 0.0000  0.08



(3)
The following is a meta-GGA SCAN calculation of a crystal of ErSi2Ru2 relaxed with PBEsol, from Alexandria via LeMat-Bulk.

- crystal system = tetragonal
- energy relative to the elements, uncorrected (eV/f.u.) = -5.0

Lattice parameters (Å, degrees): 4.1209 4.1209 5.5427 111.82 111.82 90.00
Positions (direct):
Ru 0.7500 0.2500 0.5000
Ru 0.2500 0.7500 0.5000
Si 0.3701 0.3701 0.7402
Si 0.6299 0.6299 0.2598
Er 0.0000 0.0000 0.0000



(4)
The following is a meta-GGA SCAN calculation of a crystal of MnPO4 relaxed with PBEsol, from Alexandria via LeMat-Bulk.

- crystal system = monoclinic
- energy relative to the elements, uncorrected (eV/f.u.) = -13.8

Lattice parameters (Å, degrees): 7.0104 8.2905 14.4910 89.33 90.00 90.00
Each line ends with the local moment (μB).
Positions (direct):
Mn 0.0639 0.2569 0.9148  2.83
Mn 0.9613 0.2606 0.5843  3.69
Mn 0.4613 0.2394 0.9157  3.69
Mn 0.4812 0.2532 0.2505  4.57
Mn 0.5639 0.2431 0.5852  2.83
Mn 0.9812 0.2468 0.2495  4.57
Mn 0.0188 0.7532 0.7505  4.57
Mn 0.4361 0.7569 0.4148  2.83
Mn 0.5188 0.7468 0.7495  4.57
Mn 0.5387 0.7605 0.0843  3.69
Mn 0.0387 0.7395 0.4157  3.69
Mn 0.9361 0.7431 0.0852  2.83
P 0.2611 0.9546 0.5894  0.02
P 0.2278 0.9106 0.2326  0.02
P 0.2441 0.8927 0.9344  0.02
P 0.7441 0.6073 0.5656  0.02
P 0.7278 0.5894 0.2674  0.02
P 0.7611 0.5454 0.9106  0.02
P 0.2389 0.4546 0.0894  0.02
P 0.2722 0.4106 0.7326  0.02
P 0.2559 0.3927 0.4344  0.02
P 0.7559 0.1073 0.0656  0.02
P 0.7722 0.0894 0.7674  0.02
P 0.7389 0.0454 0.4106  0.02
O 0.7344 0.1165 0.5098  0.04
O 0.4450 0.0513 0.6115  0.05
O 0.2494 0.0820 0.9460  0.00
O 0.2016 0.0823 0.2669  0.03
O 0.9475 0.1355 0.8258  0.05
O 0.0856 0.0629 0.5974  0.04
O 0.5863 0.1048 0.8204  0.08
O 0.7701 0.1454 0.1674  0.02
O 0.9271 0.1814 0.0144  0.06
O 0.7453 0.1820 0.3390  0.02
O 0.5679 0.1744 0.0267  0.01
O 0.7683 0.2055 0.6790  -0.01
O 0.9144 0.9371 0.4026  0.04
O 0.5550 0.9487 0.3885  0.05
O 0.7506 0.9180 0.0540  0.00
O 0.7984 0.9177 0.7331  0.03
O 0.0525 0.8645 0.1742  0.05
O 0.2656 0.8835 0.4902  0.04
O 0.4137 0.8952 0.1796  0.08
O 0.2299 0.8546 0.8326  0.02
O 0.0729 0.8186 0.9856  0.06
O 0.2547 0.8180 0.6610  0.02
O 0.4321 0.8256 0.9733  0.01
O 0.2317 0.7945 0.3210  -0.01
O 0.7317 0.7055 0.1790  -0.01
O 0.9321 0.6744 0.5267  0.01
O 0.7547 0.6820 0.8390  0.02
O 0.5729 0.6814 0.5144  0.06
O 0.7299 0.6454 0.6674  0.02
O 0.2683 0.2945 0.8210  -0.01
O 0.7656 0.6165 0.0098  0.04
O 0.5525 0.6355 0.3258  0.05
O 0.2506 0.5820 0.4460  0.00
O 0.0550 0.5513 0.1115  0.05
O 0.2984 0.5823 0.7669  0.03
O 0.4144 0.5629 0.0974  0.04
O 0.5856 0.4371 0.9026  0.04
O 0.7016 0.4177 0.2331  0.03
O 0.9450 0.4487 0.8885  0.05
O 0.7494 0.4180 0.5540  0.00
O 0.4475 0.3645 0.6742  0.05
O 0.2344 0.3835 0.9902  0.04
O 0.0863 0.3952 0.6796  0.08
O 0.2701 0.3546 0.3326  0.02
O 0.4271 0.3186 0.4856  0.06
O 0.2453 0.3180 0.1610  0.02
O 0.0679 0.3256 0.4733  0.01
O 0.9137 0.6048 0.3204  0.08



no.,spin magnetization (μB per formula unit)
1,0.0
2,2.5
3,0.0
4,4.0